[1]
A plane-wave DFT calculation with PBE-GGA was carried out for a geometry-optimized Zr2GaOs structure.

Output
Total magnetization: 0.0 μB per cell
SG: P4/mmm (123)

Cell and atoms, written as POSCAR:
```
Zr2GaOs
1.0
3.294 0.000 0.000
0.000 3.294 0.000
0.000 0.000 6.822
Zr Ga Os
2 1 1
Cartesian
0.000 0.000 1.627 Zr
0.000 0.000 5.195 Zr
1.647 1.647 3.411 Ga
1.647 1.647 0.000 Os
```


[2]
A plane-wave DFT calculation with PBE-GGA was carried out for a geometry-optimized Y3PRh structure.

Output
Total magnetization: 0.0 μB per cell
SG: Pm-3m (221)

Cell and atoms, written as POSCAR:
```
Y3PRh
1.0
5.176 0.000 0.000
0.000 5.176 0.000
0.000 0.000 5.176
Y P Rh
3 1 1
Cartesian
0.000 0.000 2.588 Y
0.000 2.588 0.000 Y
2.588 0.000 0.000 Y
0.000 0.000 0.000 P
2.588 2.588 2.588 Rh
```


[3]
A plane-wave DFT calculation with PBE-GGA was carried out for a geometry-optimized NpTl3F8 structure.

Output
E_form (uncorrected): -30.9 eV/f.u.
Total magnetization: 2.0 μB per cell
SG: Pm-3m (221)

Cell and atoms, written as POSCAR:
```
NpTl3F8
1.0
6.182 0.000 0.000
0.000 6.182 0.000
0.000 0.000 6.182
Np Tl F
1 3 8
Cartesian
0.000 0.000 0.000 Np
0.000 3.091 3.091 Tl
3.091 0.000 3.091 Tl
3.091 3.091 0.000 Tl
1.280 1.280 1.280 F
1.280 1.280 4.902 F
1.280 4.902 1.280 F
1.280 4.902 4.902 F
4.902 1.280 1.280 F
4.902 1.280 4.902 F
4.902 4.902 1.280 F
4.902 4.902 4.902 F
```


One value per record, in order, for energy: -8.28; -6.73; -5.49 eV per atom.